# La7Sb4H4

A relaxed structure of La7Sb4H4 (PBE, the Alexandria database).

Cell: 11.440 11.440 11.440 Å, 94.53 94.53 147.35°
Atoms (fractional coordinates):
1 La 0.000 0.282 0.282
2 La 0.000 0.718 0.718
3 La 0.105 0.500 0.605
4 La 0.250 0.250 0.000
5 La 0.282 0.000 0.282
6 La 0.300 0.300 0.599
7 La 0.300 0.700 0.000
8 La 0.500 0.105 0.605
9 La 0.500 0.895 0.395
10 La 0.700 0.300 0.000
11 La 0.700 0.700 0.401
12 La 0.718 0.000 0.718
13 La 0.750 0.750 0.000
14 La 0.895 0.500 0.395
15 Sb 0.150 0.150 0.299
16 Sb 0.150 0.850 0.000
17 Sb 0.308 0.500 0.808
18 Sb 0.500 0.308 0.808
19 Sb 0.500 0.692 0.192
20 Sb 0.692 0.500 0.192
21 Sb 0.850 0.150 0.000
22 Sb 0.850 0.850 0.701
23 H 0.129 0.629 0.257
24 H 0.129 0.871 0.500
25 H 0.371 0.629 0.500
26 H 0.371 0.871 0.743
27 H 0.629 0.129 0.257
28 H 0.629 0.371 0.500
29 H 0.871 0.129 0.500
30 H 0.871 0.371 0.743

## Properties
* space-group type: I4/mmm
* volume: 25.84 A^3/atom
* calculated total energy: -0.1845 hartree per atom

---

# LaSbH2

A relaxed structure of LaSbH2 (PBE, the Alexandria database).

Cell: 6.750 6.750 5.908 Å, 90.00 90.00 146.85°
Atoms (fractional coordinates):
1 La 0.181 0.819 0.750
2 La 0.819 0.181 0.250
3 Sb 0.456 0.544 0.750
4 Sb 0.544 0.456 0.250
5 H 0.270 0.730 0.071
6 H 0.270 0.730 0.429
7 H 0.730 0.270 0.571
8 H 0.730 0.270 0.929

## Properties
* space-group type: Cmcm
* volume: 18.40 A^3/atom
* energy above the lowest structure with this stoichiometry: 0 meV/atom
* calculated total energy: -0.1635 hartree per atom

---

# La4Sb2H3

A relaxed structure of La4Sb2H3 (PBE, the Alexandria database).

Cell: 8.419 8.419 8.316 Å, 90.00 90.00 134.17°
Atoms (fractional coordinates):
1 La 0.201 0.799 0.903
2 La 0.206 0.294 0.750
3 La 0.294 0.206 0.250
4 La 0.299 0.701 0.403
5 La 0.701 0.299 0.597
6 La 0.706 0.794 0.750
7 La 0.794 0.706 0.250
8 La 0.799 0.201 0.097
9 Sb 0.116 0.884 0.564
10 Sb 0.384 0.616 0.064
11 Sb 0.616 0.384 0.936
12 Sb 0.884 0.116 0.436
13 H 0.000 0.000 0.000
14 H 0.041 0.459 0.750
15 H 0.459 0.041 0.250
16 H 0.500 0.500 0.500
17 H 0.541 0.959 0.750
18 H 0.959 0.541 0.250

## Properties
* space-group type: Cmce
* volume: 23.49 A^3/atom
* calculated total energy: -0.1820 hartree per atom

---

# La2Sb2H

A relaxed structure of La2Sb2H (PBE, the Alexandria database).

Cell: 7.751 7.751 4.733 Å, 90.00 90.00 90.00°
Atoms (fractional coordinates):
1 La 0.180 0.320 0.000
2 La 0.320 0.820 0.000
3 La 0.680 0.180 0.000
4 La 0.820 0.680 0.000
5 Sb 0.130 0.630 0.500
6 Sb 0.370 0.130 0.500
7 Sb 0.630 0.870 0.500
8 Sb 0.870 0.370 0.500
9 H 0.000 0.000 0.000
10 H 0.500 0.500 0.000

## Properties
* space-group type: P4/mbm
* volume: 28.43 A^3/atom
* energy above the lowest structure with this stoichiometry: 105 meV/atom
* calculated total energy: -0.1863 hartree per atom